[1]
# meta-GGA SCAN Tl2OsW, PBEsol geometry
# - Energy above the lowest structure with this stoichiometry: 0 meV per atom
# - ΔE_f: 2.0 eV/f.u.
# - E_tot: -284.27 eV/cell
# - M_tot: 0.00 μB/f.u.
data_Tl2OsW
_space_group_name_H-M_alt 'P 1 m 1'
_space_group_IT_number 6
_cell_length_a 3.016
_cell_length_b 3.027
_cell_length_c 8.842
_cell_angle_alpha 90.00
_cell_angle_beta 99.80
_cell_angle_gamma 90.00
loop_
_space_group_symop_operation_xyz
'x,y,z'
'x,-y,z'
loop_
_atom_site_label
_atom_site_fract_x
_atom_site_fract_y
_atom_site_fract_z
Tl1 0.000 0.000 0.000
Tl2 0.169 0.500 0.330
Os1 0.377 0.500 0.749
W1 0.796 0.000 0.585

[2]
# meta-GGA SCAN YTlOs2, PBEsol geometry
# - Energy above the lowest structure with this stoichiometry: 336 meV per atom
# - ΔE_f: 2.7 eV/f.u.
# - E_tot: -482.57 eV/cell
# - M_tot: 0.00 μB/f.u.
data_YTlOs2
_space_group_name_H-M_alt 'I m m m'
_space_group_IT_number 71
_space_group_name_Hall '-I 2 2'
_cell_length_a 3.230
_cell_length_b 4.922
_cell_length_c 9.177
_cell_angle_alpha 90.00
_cell_angle_beta 90.00
_cell_angle_gamma 90.00
loop_
_atom_site_label
_atom_site_fract_x
_atom_site_fract_y
_atom_site_fract_z
Y1 0.000 0.000 0.000
Tl1 0.000 0.000 0.500
Os1 0.000 0.500 0.248

[3]
# meta-GGA SCAN YTlOs2, PBEsol geometry
# - Energy above the lowest structure with this stoichiometry: 40 meV per atom
# - ΔE_f: 1.5 eV/f.u.
# - E_tot: -242.47 eV/cell
# - M_tot: 0.00 μB/f.u.
data_YTlOs2
_space_group_name_H-M_alt 'P 1 2/m 1'
_space_group_IT_number 10
_cell_length_a 3.133
_cell_length_b 4.544
_cell_length_c 5.647
_cell_angle_alpha 90.00
_cell_angle_beta 94.34
_cell_angle_gamma 90.00
loop_
_space_group_symop_operation_xyz
'x,y,z'
'-x,-y,-z'
'-x,y,-z'
'x,-y,z'
loop_
_atom_site_label
_atom_site_fract_x
_atom_site_fract_y
_atom_site_fract_z
Y1 0.000 0.000 0.000
Tl1 0.500 0.000 0.500
Os1 0.451 0.500 0.794